The following is a PBE-GGA calculation of a relaxed Ba2NaIrS6 crystal, from the Open Quantum Materials Database.

energy relative to the lowest polymorph listed for this composition	0	meV per atom
space-group type	P-1

Unit cell a=5.926 b=6.990 c=7.222 alpha=92.24 beta=114.03 gamma=114.89
Sites, in units of the cell vectors:
Ba  0.017  0.268  0.263
Ba  0.983  0.732  0.737
Na  0.500  0.000  0.500
Ir  0.500  0.500  0.000
S  0.019  0.231  0.829
S  0.415  0.640  0.692
S  0.450  0.767  0.168
S  0.550  0.233  0.832
S  0.585  0.360  0.308
S  0.981  0.769  0.171